[1]
Ta2Fe SCAN single point on PBEsol structure; calculated total energy = -50.20 eV/atom; calculated volume = 15.191 Å³/atom; total magnetic moment = 0.0 μB/f.u.; formation energy from the elements = 0.23 eV per atom
1.0
4.5465 0.0000 0.0000
-2.2732 3.9374 0.0000
0.0000 0.0000 5.0918
Fe Ta
2 4
Direct
0.6667 0.3333 0.7500
0.3333 0.6667 0.2500
0.6667 0.3333 0.2500
0.0000 0.0000 0.0000
0.3333 0.6667 0.7500
0.0000 0.0000 0.5000

[2]
BeZn4Pb SCAN single point on PBEsol structure; calculated total energy = -22.00 eV/atom; calculated volume = 16.456 Å³/atom; total magnetic moment = 0.0 μB/f.u.; formation energy from the elements = 0.36 eV per atom
1.0
5.1880 0.0000 0.0000
2.5940 4.4929 0.0000
2.5940 1.4976 4.2360
Be Zn Pb
1 4 1
Direct
0.7500 0.7500 0.7500
0.3761 0.3761 0.8716
0.3761 0.8716 0.3761
0.3761 0.3761 0.3761
0.8716 0.3761 0.3761
0.0000 0.0000 0.0000

[3]
NiCSe2 SCAN single point on PBEsol structure; calculated total energy = -15.83 eV/atom; calculated volume = 17.222 Å³/atom; total magnetic moment = 0.0 μB/f.u.
1.0
3.6749 0.0000 0.0000
1.8375 3.1826 0.0000
1.8375 1.0609 5.8900
Ni Se C
1 2 1
Direct
0.5000 0.5000 0.5000
0.9011 0.9011 0.2967
0.0989 0.0989 0.7033
0.0000 0.0000 0.0000

[4]
Ba2SrLa SCAN single point on PBEsol structure; calculated total energy = -35.96 eV/atom; calculated volume = 48.152 Å³/atom; total magnetic moment = 0.0 μB/f.u.; formation energy from the elements = 0.16 eV per atom
1.0
4.5117 0.0000 0.0000
0.0000 6.5173 0.0000
0.0000 0.0000 6.5505
Ba Sr La
2 1 1
Direct
0.0000 0.0000 0.0000
0.5000 0.0000 0.5000
0.0000 0.5000 0.5000
0.5000 0.5000 0.0000

[5]
ScMoAsCl2 SCAN single point on PBEsol structure; calculated total energy = -17.11 eV/atom; calculated volume = 25.468 Å³/atom; total magnetic moment = 2.4 μB/f.u.
1.0
4.5657 0.0000 0.0000
0.0000 4.5657 0.0000
0.0000 0.0000 6.1087
Cl As Mo Sc
2 1 1 1
Direct
0.5000 0.0000 0.0000
0.0000 0.5000 0.0000
0.5000 0.5000 0.5000
0.0000 0.0000 0.5000
0.0000 0.0000 0.0000

[6]
AlGe2PH24C8 SCAN single point on PBEsol structure; calculated total energy = -6.29 eV/atom; calculated volume = 10.700 Å³/atom; total magnetic moment = 0.0 μB/f.u.
1.0
9.2177 0.0492 0.0309
4.3106 8.7643 -0.0424
1.6618 1.6501 9.5560
H Al Ge C P
48 2 4 16 2
Direct
0.0790 0.9383 0.7015
0.1963 0.7005 0.4102
0.8670 0.7880 0.2775
0.1330 0.2120 0.7225
0.4486 0.1619 0.4227
0.6660 0.4414 0.0009
0.4585 0.2971 0.0549
0.7670 0.2530 0.9539
0.9282 0.4019 0.5265
0.7530 0.1903 0.1983
0.1733 0.0876 0.8863
0.1855 0.9876 0.3718
0.8037 0.2995 0.5898
0.4032 0.4342 0.8027
0.4241 0.1593 0.9864
0.2330 0.7470 0.0461
0.3283 0.3630 0.3628
0.7130 0.4192 0.8217
0.5338 0.5057 0.3737
0.4337 0.9064 0.8846
0.0117 0.1969 0.5297
0.7226 0.7914 0.1762
0.2475 0.9561 0.1942
0.3581 0.3747 0.6615
0.5759 0.8407 0.0136
0.5663 0.0936 0.1154
0.3340 0.5586 0.9991
0.5415 0.7029 0.9451
0.0718 0.5981 0.4735
0.8145 0.0124 0.6282
0.2774 0.2086 0.8238
0.6419 0.6253 0.3385
0.3972 0.9007 0.3140
0.4662 0.4943 0.6263
0.9210 0.0617 0.2985
0.7525 0.0439 0.8058
0.6028 0.0993 0.6860
0.2371 0.2498 0.4813
0.2470 0.8097 0.8017
0.7200 0.1423 0.3840
0.9883 0.8031 0.4703
0.2870 0.5808 0.1783
0.8267 0.9124 0.1137
0.5514 0.8381 0.5773
0.7629 0.7502 0.5187
0.6717 0.6370 0.6372
0.2800 0.8577 0.6160
0.5968 0.5658 0.1973
0.0225 0.6341 0.0769
0.9775 0.3659 0.9231
0.7195 0.8085 0.7689
0.2805 0.1915 0.2311
0.8346 0.3433 0.3245
0.1654 0.6567 0.6755
0.7594 0.3720 0.9264
0.2763 0.9883 0.2832
0.8046 0.1657 0.2984
0.3691 0.4701 0.6944
0.5507 0.8144 0.9195
0.4493 0.1856 0.0805
0.2406 0.6280 0.0736
0.7237 0.0117 0.7168
0.1593 0.2036 0.8302
0.9024 0.3068 0.5115
0.0976 0.6932 0.4885
0.6309 0.5299 0.3056
0.8407 0.7964 0.1698
0.1954 0.8343 0.7016
0.6727 0.7521 0.6083
0.3273 0.2479 0.3917
0.0311 0.3754 0.1550
0.9689 0.6246 0.8450